(1)
The following is a DFT calculation (GGA-PBE) of a relaxed Hf2ScAg crystal.

Output
E = -7.0261 eV per atom
Spin magnetization = 0.00 μB/f.u.
Calculated formation energy = 0.2463 eV/atom

a = 4.9047 Å, b = 4.9047 Å, c = 4.9047 Å
α = 60.00°, β = 60.00°, γ = 60.00°
Last column: nearest neighbours and their distance in Å.
Fractional positions:
1 Hf 0.2500 0.2500 0.2500  4 Sc 3.00, 4 Ag 3.00
2 Hf 0.7500 0.7500 0.7500  4 Sc 3.00, 4 Ag 3.00
3 Ag 0.5000 0.5000 0.5000  8 Hf 3.00
4 Sc 0.0000 0.0000 0.0000  8 Hf 3.00

=====

(2)
The following is a DFT calculation (GGA-PBE) of a relaxed Dy3Ho crystal.

Output
E = -4.5753 eV per atom
Spin magnetization = 0.00 μB/f.u.
Calculated formation energy = 0.0207 eV/atom

a = 4.9919 Å, b = 4.9919 Å, c = 4.9919 Å
α = 90.00°, β = 90.00°, γ = 90.00°
Last column: nearest neighbours and their distance in Å.
Fractional positions:
1 Dy 0.5000 0.5000 0.0000  8 Dy 3.53, 4 Ho 3.53
2 Dy 0.5000 0.0000 0.5000  8 Dy 3.53, 4 Ho 3.53
3 Dy 0.0000 0.5000 0.5000  8 Dy 3.53, 4 Ho 3.53
4 Ho 0.0000 0.0000 0.0000  12 Dy 3.53

=====

(3)
The following is a DFT calculation (GGA-PBE) of a relaxed Li6Mg8Au crystal.

Output
E = -1.8997 eV per atom
Spin magnetization = 0.00 μB/f.u.
Calculated formation energy = -0.0653 eV/atom

a = 5.4085 Å, b = 8.4287 Å, c = 8.4287 Å
α = 120.00°, β = 90.00°, γ = 90.00°
Last column: nearest neighbours and their distance in Å.
Fractional positions:
1 Mg 0.2122 0.2671 0.2283  1 Au 2.62
2 Mg 0.7878 0.2283 0.9612  1 Au 2.62
3 Mg 0.2076 0.6667 0.3333  3 Mg 3.02, 9 Li 3.21-3.36
4 Mg 0.7878 0.0388 0.2671  1 Au 2.62
5 Mg 0.2122 0.7717 0.0388  1 Au 2.62
6 Mg 0.7878 0.7329 0.7717  1 Au 2.62
7 Mg 0.7924 0.3333 0.6667  3 Mg 3.02, 9 Li 3.21-3.36
8 Mg 0.2122 0.9612 0.7329  1 Au 2.62
9 Li 0.2800 0.0924 0.4615  8 Mg 3.01-3.36, 3 Li 3.09-3.29
10 Li 0.7200 0.6309 0.0924  8 Mg 3.01-3.36, 3 Li 3.09-3.29
11 Li 0.2800 0.3691 0.9076  8 Mg 3.01-3.36, 3 Li 3.09-3.29
12 Li 0.2800 0.5385 0.6309  8 Mg 3.01-3.36, 3 Li 3.09-3.29
13 Li 0.7200 0.9076 0.5385  8 Mg 3.01-3.36, 3 Li 3.09-3.29
14 Li 0.7200 0.4615 0.3691  8 Mg 3.01-3.36, 3 Li 3.09-3.29
15 Au 0.5000 0.0000 0.0000  6 Mg 2.62

=====

(4)
The following is a DFT calculation (GGA-PBE) of a relaxed NaAg8Au2 crystal.

Output
E = -2.5773 eV per atom
Spin magnetization = 0.00 μB/f.u.
Calculated formation energy = 0.2122 eV/atom

a = 4.8963 Å, b = 7.0760 Å, c = 7.0760 Å
α = 85.78°, β = 79.47°, γ = 79.47°
Last column: nearest neighbours and their distance in Å.
Fractional positions:
1 Ag 0.7081 0.5760 0.5760  1 Au 2.82, 7 Ag 2.83-2.98
2 Ag 0.8714 0.2795 0.2795  5 Ag 2.74-2.98, 2 Au 2.79-2.82, 1 Na 2.81
3 Ag 0.7859 0.1685 0.6620  4 Ag 2.74-3.05, 1 Au 2.81, 1 Na 2.88
4 Ag 0.2141 0.8315 0.3380  4 Ag 2.74-3.05, 1 Au 2.81, 1 Na 2.88
5 Ag 0.2919 0.4240 0.4240  1 Au 2.82, 7 Ag 2.83-2.98
6 Ag 0.1286 0.7205 0.7205  5 Ag 2.74-2.98, 2 Au 2.79-2.82, 1 Na 2.81
7 Ag 0.2141 0.3380 0.8315  4 Ag 2.74-3.05, 1 Au 2.81, 1 Na 2.88
8 Ag 0.7859 0.6620 0.1685  4 Ag 2.74-3.05, 1 Au 2.81, 1 Na 2.88
9 Na 0.0000 0.0000 0.0000  4 Au 2.77-2.91, 6 Ag 2.81-2.88
10 Au 0.4407 0.1430 0.1430  2 Na 2.77-2.91, 5 Ag 2.79-2.82, 1 Au 2.88
11 Au 0.5593 0.8570 0.8570  2 Na 2.77-2.91, 5 Ag 2.79-2.82, 1 Au 2.88

=====

Question: Which formula does entry 1 have?
Answer: Hf2ScAg

=====

Please write out number 3 again, unchanged.
The following is a DFT calculation (GGA-PBE) of a relaxed Li6Mg8Au crystal.

Output
E = -1.8997 eV per atom
Spin magnetization = 0.00 μB/f.u.
Calculated formation energy = -0.0653 eV/atom

a = 5.4085 Å, b = 8.4287 Å, c = 8.4287 Å
α = 120.00°, β = 90.00°, γ = 90.00°
Last column: nearest neighbours and their distance in Å.
Fractional positions:
1 Mg 0.2122 0.2671 0.2283  1 Au 2.62
2 Mg 0.7878 0.2283 0.9612  1 Au 2.62
3 Mg 0.2076 0.6667 0.3333  3 Mg 3.02, 9 Li 3.21-3.36
4 Mg 0.7878 0.0388 0.2671  1 Au 2.62
5 Mg 0.2122 0.7717 0.0388  1 Au 2.62
6 Mg 0.7878 0.7329 0.7717  1 Au 2.62
7 Mg 0.7924 0.3333 0.6667  3 Mg 3.02, 9 Li 3.21-3.36
8 Mg 0.2122 0.9612 0.7329  1 Au 2.62
9 Li 0.2800 0.0924 0.4615  8 Mg 3.01-3.36, 3 Li 3.09-3.29
10 Li 0.7200 0.6309 0.0924  8 Mg 3.01-3.36, 3 Li 3.09-3.29
11 Li 0.2800 0.3691 0.9076  8 Mg 3.01-3.36, 3 Li 3.09-3.29
12 Li 0.2800 0.5385 0.6309  8 Mg 3.01-3.36, 3 Li 3.09-3.29
13 Li 0.7200 0.9076 0.5385  8 Mg 3.01-3.36, 3 Li 3.09-3.29
14 Li 0.7200 0.4615 0.3691  8 Mg 3.01-3.36, 3 Li 3.09-3.29
15 Au 0.5000 0.0000 0.0000  6 Mg 2.62

=====

Question: Which value of E does entry 4 give?
Answer: -2.5773 eV per atom

=====

Question: Number 4 is which compound?
Answer: NaAg8Au2